a.
First-principles (PBE-GGA) data for a relaxed structure of Li3MnCl, as listed in Alexandria via LeMat-Bulk.

abc: 5.094 5.094 5.094
angles: 90.00 90.00 90.00
Space group Pm-3m (No. 221)
Asymmetric unit:
Li  0.000  0.000  0.500 [3 per cell]
Mn  0.000  0.000  0.000 [1 per cell]
Cl  0.500  0.500  0.500 [1 per cell]

=====

b.
First-principles (PBE-GGA) data for a relaxed structure of Li3MnCl, as listed in Alexandria via LeMat-Bulk.

abc: 4.645 4.645 4.645
angles: 90.00 90.00 90.00
Space group Pm-3m (No. 221)
Asymmetric unit:
Li  0.000  0.000  0.500 [3 per cell]
Mn  0.500  0.500  0.500 [1 per cell]
Cl  0.000  0.000  0.000 [1 per cell]

=====

Quick one: most stable of them? b

=====

a.
First-principles (PBE-GGA) data for a relaxed structure of LiMnCl, as listed in Alexandria via LeMat-Bulk.

abc: 3.229 3.229 12.767
angles: 90.00 90.00 90.00
Space group I4mm (No. 107)
Asymmetric unit:
Li  0.000  0.000  0.000 [2 per cell]
Mn  0.000  0.000  0.661 [2 per cell]
Cl  0.000  0.000  0.453 [2 per cell]

=====

b.
First-principles (PBE-GGA) data for a relaxed structure of LiMnCl, as listed in Alexandria via LeMat-Bulk.

abc: 2.909 2.909 10.476
angles: 90.00 90.00 90.00
Space group I4mm (No. 107)
Asymmetric unit:
Li  0.000  0.000  0.000 [2 per cell]
Mn  0.000  0.000  0.315 [2 per cell]
Cl  0.000  0.000  0.719 [2 per cell]

=====

Quick one: most stable of them? a

=====

a.
First-principles (PBE-GGA) data for a relaxed structure of LiMnCl, as listed in Alexandria via LeMat-Bulk.

abc: 6.113 6.113 6.113
angles: 90.00 90.00 90.00
Space group F-43m (No. 216)
Asymmetric unit:
Li  0.000  0.000  0.000 [4 per cell]
Mn  0.000  0.000  0.500 [4 per cell]
Cl  0.250  0.250  0.750 [4 per cell]

=====

b.
First-principles (PBE-GGA) data for a relaxed structure of LiMnCl, as listed in Alexandria via LeMat-Bulk.

abc: 3.2760 3.2760 5.8809
angles: 90.00 90.00 120.00
Space group P3m1 (No. 156)
Asymmetric unit:
Li  0.0000  0.0000  0.0000 [1 per cell]
Mn  0.6667  0.3333  0.3946 [1 per cell]
Cl  0.3333  0.6667  0.7399 [1 per cell]

=====

c.
First-principles (PBE-GGA) data for a relaxed structure of LiMnCl, as listed in Alexandria via LeMat-Bulk.

abc: 6.432 6.432 6.432
angles: 90.00 90.00 90.00
Space group F-43m (No. 216)
Asymmetric unit:
Li  0.000  0.000  0.000 [4 per cell]
Mn  0.250  0.250  0.250 [4 per cell]
Cl  0.000  0.000  0.500 [4 per cell]

=====

d.
First-principles (PBE-GGA) data for a relaxed structure of LiMnCl, as listed in Alexandria via LeMat-Bulk.

abc: 4.1669 4.1669 3.4151
angles: 90.00 90.00 120.00
Space group P-6m2 (No. 187)
Asymmetric unit:
Li  0.0000  0.0000  0.0000 [1 per cell]
Mn  0.3333  0.6667  0.5000 [1 per cell]
Cl  0.6667  0.3333  0.5000 [1 per cell]

=====

Quick one: most stable of them? b

=====

a.
First-principles (PBE-GGA) data for a relaxed structure of Li2Mn2Cl7, as listed in Alexandria via LeMat-Bulk.

abc: 7.401 11.994 6.684
angles: 90.00 90.15 90.00
Space group C2/m (No. 12)
Asymmetric unit:
Li  0.000  0.243  0.000 [4 per cell]
Mn  0.207  0.000  0.630 [4 per cell]
Cl  0.000  0.500  0.500 [2 per cell]
Cl  0.105  0.000  0.287 [4 per cell]
Cl  0.246  0.331  0.200 [8 per cell]

=====

b.
First-principles (PBE-GGA) data for a relaxed structure of Li2Mn2Cl7, as listed in Alexandria via LeMat-Bulk.

abc: 8.996 10.613 13.072
angles: 90.00 108.95 90.00
Space group C2/c (No. 15)
Asymmetric unit:
Li  0.177  0.079  0.474 [8 per cell]
Mn  0.243  0.247  0.797 [8 per cell]
Cl  0.000  0.347  0.750 [4 per cell]
Cl  0.113  0.105  0.083 [8 per cell]
Cl  0.190  0.439  0.120 [8 per cell]
Cl  0.222  0.276  0.368 [8 per cell]

=====

Quick one: most stable of them? a

=====

a.
First-principles (PBE-GGA) data for a relaxed structure of Li6MnCl8, as listed in Alexandria via LeMat-Bulk.

abc: 10.244 10.244 10.244
angles: 90.00 90.00 90.00
Space group Fm-3m (No. 225)
Asymmetric unit:
Li  0.000  0.250  0.250 [24 per cell]
Mn  0.000  0.000  0.000 [4 per cell]
Cl  0.000  0.000  0.233 [24 per cell]
Cl  0.250  0.250  0.250 [8 per cell]

=====

b.
First-principles (PBE-GGA) data for a relaxed structure of Li6MnCl8, as listed in Alexandria via LeMat-Bulk.

abc: 9.5537 9.5537 12.9558
angles: 90.00 90.00 120.00
Space group R-3 (No. 148, hexagonal axes)
Asymmetric unit:
Li  0.0322  0.7670  0.4167 [18 per cell]
Mn  0.0000  0.0000  0.0000 [3 per cell]
Cl  0.0000  0.0000  0.1700 [6 per cell]
Cl  0.0344  0.7669  0.6044 [18 per cell]

=====

Quick one: most stable of them? b

=====

a.
First-principles (PBE-GGA) data for a relaxed structure of Li2MnCl4, as listed in Alexandria via LeMat-Bulk.

abc: 7.431 7.539 10.497
angles: 90.00 90.00 90.00
Space group Imma (No. 74)
Asymmetric unit:
Li  0.000  0.250  0.140 [4 per cell]
Li  0.250  0.250  0.750 [4 per cell]
Mn  0.000  0.000  0.500 [4 per cell]
Cl  0.000  0.016  0.737 [8 per cell]
Cl  0.237  0.250  0.501 [8 per cell]

=====

b.
First-principles (PBE-GGA) data for a relaxed structure of Li2MnCl4, as listed in Alexandria via LeMat-Bulk.

abc: 5.054 5.054 12.876
angles: 90.00 90.00 90.00
Space group I4/mmm (No. 139)
Asymmetric unit:
Li  0.000  0.000  0.135 [4 per cell]
Mn  0.000  0.000  0.500 [2 per cell]
Cl  0.000  0.000  0.311 [4 per cell]
Cl  0.000  0.500  0.000 [4 per cell]

=====

c.
First-principles (PBE-GGA) data for a relaxed structure of Li2MnCl4, as listed in Alexandria via LeMat-Bulk.

abc: 7.188 7.286 7.274
angles: 90.00 93.52 90.00
Space group P2_1/m (No. 11)
Asymmetric unit:
Li  0.005  0.250  0.249 [2 per cell]
Li  0.382  0.250  0.194 [2 per cell]
Mn  0.169  0.750  0.175 [2 per cell]
Cl  0.146  0.250  0.938 [2 per cell]
Cl  0.228  0.011  0.362 [4 per cell]
Cl  0.307  0.750  0.885 [2 per cell]

=====

Quick one: most stable of them? a

=====

a.
First-principles (PBE-GGA) data for a relaxed structure of LiMnPCl2, as listed in Alexandria via LeMat-Bulk.

abc: 5.103 5.103 4.724
angles: 90.00 90.00 90.00
Space group P4/mmm (No. 123)
Asymmetric unit:
Li  0.000  0.000  0.000 [1 per cell]
Mn  0.500  0.500  0.000 [1 per cell]
P  0.000  0.000  0.500 [1 per cell]
Cl  0.000  0.500  0.500 [2 per cell]

=====

b.
First-principles (PBE-GGA) data for a relaxed structure of LiMnPCl2, as listed in Alexandria via LeMat-Bulk.

abc: 4.429 4.429 5.271
angles: 90.00 90.00 90.00
Space group P4/mmm (No. 123)
Asymmetric unit:
Li  0.000  0.000  0.000 [1 per cell]
Mn  0.500  0.500  0.500 [1 per cell]
P  0.000  0.000  0.500 [1 per cell]
Cl  0.000  0.500  0.000 [2 per cell]

=====

Quick one: most stable of them? b

=====

a.
First-principles (PBE-GGA) data for a relaxed structure of Li2MoCl, as listed in Alexandria via LeMat-Bulk.

abc: 4.907 4.907 3.066
angles: 90.00 90.00 90.00
Space group P4/mmm (No. 123)
Asymmetric unit:
Li  0.000  0.500  0.000 [2 per cell]
Mo  0.000  0.000  0.500 [1 per cell]
Cl  0.500  0.500  0.500 [1 per cell]

=====

b.
First-principles (PBE-GGA) data for a relaxed structure of Li2MoCl, as listed in Alexandria via LeMat-Bulk.

abc: 2.856 2.887 16.649
angles: 90.00 90.00 90.00
Space group Imm2 (No. 44)
Asymmetric unit:
Li  0.000  0.000  0.000 [2 per cell]
Li  0.000  0.500  0.167 [2 per cell]
Mo  0.000  0.500  0.790 [2 per cell]
Cl  0.000  0.000  0.426 [2 per cell]

=====

c.
First-principles (PBE-GGA) data for a relaxed structure of Li2MoCl, as listed in Alexandria via LeMat-Bulk.

abc: 7.181 7.181 4.751
angles: 90.00 90.00 90.00
Space group I-42d (No. 122)
Asymmetric unit:
Li  0.192  0.250  0.125 [8 per cell]
Mo  0.000  0.000  0.500 [4 per cell]
Cl  0.000  0.000  0.000 [4 per cell]

=====

d.
First-principles (PBE-GGA) data for a relaxed structure of Li2MoCl, as listed in Alexandria via LeMat-Bulk.

abc: 3.654 3.654 9.668
angles: 90.00 90.00 90.00
Space group I4/mmm (No. 139)
Asymmetric unit:
Li  0.000  0.500  0.250 [4 per cell]
Mo  0.000  0.000  0.000 [2 per cell]
Cl  0.000  0.000  0.500 [2 per cell]

=====

Quick one: most stable of them? b